The following is a DFT calculation (PBE with a Hubbard U) of crystalline Y2PuCoO8 at its relaxed geometry.

Unit cell a=4.9462 b=4.9437 c=6.8572 alpha=90.00 beta=90.00 gamma=93.68
Each line ends with the local moment (μB).
Sites, in units of the cell vectors:
O (0.8187, 0.1837, 0.2251)  -0.01
O (0.7022, 0.7055, 0.0000)  -0.04
O (0.2978, 0.2945, 0.0000)  -0.04
Pu (0.0000, 0.0000, 0.0000)  1.50
O (0.1812, 0.8163, 0.2252)  -0.01
O (0.8188, 0.1837, 0.7748)  -0.01
O (0.7290, 0.7303, 0.5000)  0.22
O (0.1813, 0.8163, 0.7749)  -0.01
Y (0.5000, 0.5000, 0.7404)  0.02
Y (0.5000, 0.5000, 0.2596)  0.02
O (0.2710, 0.2697, 0.5000)  0.22
Co (0.0000, 0.0000, 0.5000)  3.01

The value obtained for the total energy is -8.47 eV per atom. As for the symmetry: P2/m, No. 10.